Entry 1:
! P2IrRh (PBE-GGA, optimized geometry); values from VASP
&SYSTEM
  ibrav = 0, nat = 4, ntyp = 3
/
ATOMIC_SPECIES
Ir 192.22 Ir.upf
P 30.97 P.upf
Rh 102.91 Rh.upf
ATOMIC_POSITIONS crystal
Ir 0.500 0.500 0.752
P 0.000 0.000 0.950
P 0.500 0.500 0.302
Rh 0.000 0.000 0.496
CELL_PARAMETERS angstrom
2.774 0.003 0.000
-1.383 2.405 0.000
0.000 0.000 9.660
! SG: Cmm2
! Calculated volume (Å³/f.u.): 64.5
! Relative energy among the computed polymorphs (eV per atom): 0.650


Entry 2:
! PIrRh2 (PBE-GGA, optimized geometry); values from VASP
&SYSTEM
  ibrav = 0, nat = 4, ntyp = 3
/
ATOMIC_SPECIES
P 30.97 P.upf
Ir 192.22 Ir.upf
Rh 102.91 Rh.upf
ATOMIC_POSITIONS crystal
P 0.250 0.250 0.250
Ir 0.511 0.511 0.511
Rh 0.988 0.988 0.988
Rh 0.750 0.750 0.750
CELL_PARAMETERS angstrom
8.117 -1.412 0.003
8.117 1.412 0.003
7.871 0.000 2.437
! SG: R3m
! Calculated volume (Å³/f.u.): 55.8


Number 1: theoretical density 9.20 Mg/m³, E_form 0.191 eV per atom, D(E_F) 0.762 states/eV per atom. Number 2: theoretical density 12.76 Mg/m³, E_form -0.128 eV per atom, D(E_F) 0.991 states/eV per atom.